The following is a PBE-GGA calculation of crystalline Li2Ti3SnO8 at its relaxed geometry, from Alexandria.

Cell and atoms, written as CIF:
```
data_Li2Ti3SnO8
_chemical_formula_sum 'Li4 Ti6 Sn2 O16'
_space_group_name_H-M_alt 'P 63 m c'
_space_group_IT_number 186
_space_group_name_Hall 'P 6c -2c'
_cell_length_a 6.0161
_cell_length_b 6.0161
_cell_length_c 10.9482
_cell_angle_alpha 90.00
_cell_angle_beta 90.00
_cell_angle_gamma 120.00
loop_
_atom_site_label
_atom_site_type_symbol
_atom_site_fract_x
_atom_site_fract_y
_atom_site_fract_z
Li1 Li 0.0000 0.0000 0.0000
Li2 Li 0.3333 0.6667 0.3602
Ti1 Ti 0.1696 0.3392 0.7200
Sn1 Sn 0.3333 0.6667 0.0162
O1 O 0.0000 0.0000 0.3161
O2 O 0.0204 0.5102 0.8085
O3 O 0.1491 0.2982 0.1165
O4 O 0.3333 0.6667 0.6210
```

Values from the calculation:
ΔE_f (raw) = -2.551 eV/atom
total energy = -0.281 Ha/atom
crystal system = hexagonal

The following is a PBE-GGA calculation of crystalline HPdRh3 at its relaxed geometry, from Alexandria.

Cell and atoms, written as CIF:
```
data_HPdRh3
_chemical_formula_sum 'H1 Pd1 Rh3'
_space_group_name_H-M_alt 'P m -3 m'
_space_group_IT_number 221
_space_group_name_Hall '-P 4 2 3'
_cell_length_a 4.804
_cell_length_b 4.804
_cell_length_c 4.804
_cell_angle_alpha 90.00
_cell_angle_beta 90.00
_cell_angle_gamma 90.00
loop_
_atom_site_label
_atom_site_type_symbol
_atom_site_fract_x
_atom_site_fract_y
_atom_site_fract_z
H1 H 0.000 0.000 0.000
Pd1 Pd 0.500 0.500 0.500
Rh1 Rh 0.000 0.500 0.500
```

Values from the calculation:
total energy = -0.148 Ha/atom
crystal system = cubic

The following is a PBE-GGA calculation of crystalline Cr2MoW at its relaxed geometry, from Alexandria.

Cell and atoms, written as CIF:
```
data_Cr2MoW
_chemical_formula_sum 'Cr2 Mo1 W1'
_space_group_name_H-M_alt 'P 4/m m m'
_space_group_IT_number 123
_space_group_name_Hall '-P 4 2'
_cell_length_a 3.025
_cell_length_b 3.025
_cell_length_c 6.052
_cell_angle_alpha 90.00
_cell_angle_beta 90.00
_cell_angle_gamma 90.00
loop_
_atom_site_label
_atom_site_type_symbol
_atom_site_fract_x
_atom_site_fract_y
_atom_site_fract_z
Cr1 Cr 0.000 0.000 0.249
Mo1 Mo 0.500 0.500 0.000
W1 W 0.500 0.500 0.500
```

Values from the calculation:
energy relative to the elements = 0.04 eV/atom
total energy = -0.394 Ha/atom
crystal system = tetragonal

The following is a PBE-GGA calculation of crystalline Ac7Dy2Er2 at its relaxed geometry, from Alexandria.

Cell and atoms, written as CIF:
```
data_Ac7Dy2Er2
_chemical_formula_sum 'Ac14 Dy4 Er4'
_space_group_name_H-M_alt 'C 1 2/m 1'
_space_group_IT_number 12
_space_group_name_Hall '-C 2y'
_cell_length_a 13.238
_cell_length_b 10.559
_cell_length_c 6.689
_cell_angle_alpha 90.00
_cell_angle_beta 98.32
_cell_angle_gamma 90.00
loop_
_atom_site_label
_atom_site_type_symbol
_atom_site_fract_x
_atom_site_fract_y
_atom_site_fract_z
Ac1 Ac 0.000 0.000 0.000
Ac2 Ac 0.048 0.500 0.264
Ac3 Ac 0.241 0.327 0.749
Dy1 Dy 0.200 0.000 0.713
Er1 Er 0.000 0.173 0.500
```

Values from the calculation:
energy relative to the elements = 0.27 eV/atom
total energy = -0.148 Ha/atom
crystal system = monoclinic